DFT (GGA-PBE) results for a relaxed structure of KCa4Cd.

a = 7.242 Å, b = 7.242 Å, c = 7.242 Å
α = 60.00°, β = 60.00°, γ = 60.00°
Element x y z (fractional)
Ca1 0.376 0.376 0.376
Ca2 0.873 0.376 0.376
Ca3 0.376 0.376 0.873
Ca4 0.376 0.873 0.376
K1 0.000 0.000 0.000
Cd1 0.750 0.750 0.750

The volume is 268.6 Å³/cell. For the density of states at the Fermi level, the calculation gives 1.126 states/eV per atom. The energy of formation from the pure elements comes out at 1.45 eV per formula unit. For the energy, the calculation gives -1.428 eV per atom. As for the symmetry: F-43m (216). The value obtained for the total magnetic moment is 0.0000 μB/atom.